1.
Dy6Fe2Sb | GGA-PBE | relaxed

Cell lengths 8.4072, 8.4072, 8.4072 Å; angles 106.98, 110.86, 110.60 degrees
Each line ends with the local moment (μB).
Atoms (fractional coordinates):
Dy  0.5302  0.8142  0.7160  -0.10
Dy  0.4698  0.1858  0.2840  -0.10
Dy  0.0982  0.8142  0.2840  -0.10
Dy  0.9018  0.1858  0.7160  -0.10
Dy  0.7839  0.0159  0.2321  -0.01
Dy  0.2161  0.9841  0.7679  -0.01
Dy  0.2161  0.4482  0.2321  -0.01
Dy  0.7839  0.5518  0.7679  -0.01
Dy  0.6968  0.3148  0.0117  0.03
Dy  0.3032  0.6852  0.9883  0.03
Dy  0.3032  0.3148  0.6180  0.03
Dy  0.6968  0.6852  0.3820  0.03
Fe  0.5000  0.1075  0.6075  1.15
Fe  0.5000  0.8925  0.3925  1.15
Fe  0.6132  0.6132  0.0000  -0.67
Fe  0.3868  0.3868  0.0000  -0.67
Sb  0.0000  0.5000  0.5000  0.00
Sb  0.0000  0.0000  0.0000  0.00

space-group type = Immm
DOS at the Fermi energy = 14.1 states/eV per cell
formation energy (no corrections) = -0.27 eV/atom



2.
Dy12Fe6Sb | GGA-PBE | relaxed

Cell lengths 8.4059, 8.4059, 8.4059 Å; angles 109.47, 109.47, 109.47 degrees
Each line ends with the local moment (μB).
Atoms (fractional coordinates):
Dy  0.3004  0.1035  0.8031  -0.17
Dy  0.3004  0.4973  0.1969  -0.17
Dy  0.6996  0.5027  0.8031  -0.17
Dy  0.6996  0.8965  0.1969  -0.17
Dy  0.1035  0.8031  0.3004  -0.17
Dy  0.4973  0.1969  0.3004  -0.17
Dy  0.5027  0.8031  0.6996  -0.17
Dy  0.8965  0.1969  0.6996  -0.17
Dy  0.8031  0.3004  0.1035  -0.17
Dy  0.1969  0.3004  0.4973  -0.17
Dy  0.8031  0.6996  0.5027  -0.17
Dy  0.1969  0.6996  0.8965  -0.17
Fe  0.3911  0.5000  0.8911  1.31
Fe  0.6089  0.5000  0.1089  1.31
Fe  0.5000  0.8911  0.3911  1.31
Fe  0.5000  0.1089  0.6089  1.31
Fe  0.8911  0.3911  0.5000  1.31
Fe  0.1089  0.6089  0.5000  1.31
Sb  0.0000  0.0000  0.0000  0.02

space-group type = Im-3
DOS at the Fermi energy = 16.5 states/eV per cell
formation energy (no corrections) = -0.14 eV/atom



3.
Dy2ScFe | GGA-PBE | relaxed

Cell lengths 3.3585, 3.3585, 10.4505 Å; angles 80.75, 80.75, 60.00 degrees
Each line ends with the local moment (μB).
Atoms (fractional coordinates):
Sc  0.0000  0.0000  0.0000  -0.29
Fe  0.5000  0.5000  0.5000  1.40
Dy  0.1043  0.1043  0.6872  -0.22
Dy  0.8957  0.8957  0.3128  -0.22

space-group type = R-3m
DOS at the Fermi energy = 4.7 states/eV per cell
energy of formation = 0.370 eV/atom



4.
Dy3ScFe8 | GGA-PBE | relaxed

Cell lengths 5.0778, 5.0778, 8.7881 Å; angles 73.21, 73.21, 60.00 degrees
Each line ends with the local moment (μB).
Atoms (fractional coordinates):
Dy  0.3752  0.3752  0.8744  -0.56
Dy  0.9986  0.9986  0.0042  -0.56
Dy  0.5012  0.5012  0.4965  -0.54
Sc  0.8749  0.8749  0.3754  -0.47
Fe  0.9354  0.4364  0.1918  1.91
Fe  0.4408  0.9381  0.6831  1.92
Fe  0.4364  0.4364  0.1918  1.91
Fe  0.9381  0.9381  0.6831  1.92
Fe  0.1879  0.1879  0.4362  1.84
Fe  0.6871  0.6871  0.9386  1.92
Fe  0.4364  0.9354  0.1918  1.91
Fe  0.9381  0.4408  0.6831  1.92

space-group type = R3m
DOS at the Fermi energy = 15.6 states/eV per cell
energy of formation = -0.120 eV/atom



5.
DyFeSe | GGA-PBE | relaxed

Cell lengths 4.2218, 4.2218, 10.1472 Å; angles 77.99, 77.99, 60.00 degrees
Each line ends with the local moment (μB).
Atoms (fractional coordinates):
Dy  0.5648  0.5648  0.3056  -0.15
Dy  0.4352  0.4352  0.6944  -0.15
Se  0.2745  0.2745  0.1766  0.06
Se  0.7255  0.7255  0.8234  0.06
Fe  0.8270  0.8270  0.5190  2.32
Fe  0.1730  0.1730  0.4810  2.32

space-group type = R-3m
DOS at the Fermi energy = 3.4 states/eV per cell
formation energy (no corrections) = -0.71 eV/atom



6.
Dy3Fe5Se12 | GGA-PBE | relaxed

Cell lengths 13.3318, 13.3318, 13.3318 Å; angles 109.47, 109.47, 109.47 degrees
Each line ends with the local moment (μB).
Atoms (fractional coordinates):
Fe  0.1250  0.3750  0.2500  3.03
Fe  0.0000  0.5000  0.0000  1.73
Fe  0.0000  0.0000  0.0000  1.73
Fe  0.3750  0.2500  0.1250  3.03
Fe  0.5000  0.0000  0.5000  1.73
Fe  0.5000  0.5000  0.0000  1.73
Fe  0.1250  0.7500  0.3750  3.03
Fe  0.7500  0.1250  0.8750  3.03
Fe  0.7500  0.6250  0.3750  3.03
Fe  0.3750  0.1250  0.7500  3.03
Fe  0.6250  0.8750  0.2500  3.03
Fe  0.5000  0.5000  0.5000  1.73
Fe  0.5000  0.0000  0.0000  1.73
Fe  0.0000  0.0000  0.5000  1.73
Fe  0.2500  0.3750  0.6250  3.03
Fe  0.2500  0.8750  0.1250  3.03
Fe  0.0000  0.5000  0.5000  1.73
Fe  0.8750  0.2500  0.6250  3.03
Fe  0.6250  0.7500  0.8750  3.03
Fe  0.8750  0.6250  0.7500  3.03
Se  0.7025  0.1178  0.0286  0.06
Se  0.3262  0.5286  0.4108  0.06
Se  0.9714  0.3822  0.2975  0.06
Se  0.5286  0.2025  0.1178  0.06
Se  0.5847  0.7025  0.6738  0.06
Se  0.9714  0.5892  0.1738  0.06
Se  0.3262  0.7975  0.4153  0.06
Se  0.0892  0.9153  0.1178  0.06
Se  0.5892  0.9714  0.6738  0.06
Se  0.7025  0.5847  0.1738  0.06
Se  0.7975  0.4714  0.3822  0.06
Se  0.8262  0.9108  0.0286  0.06
Se  0.1178  0.7025  0.5286  0.06
Se  0.3822  0.4108  0.0847  0.06
Se  0.0847  0.9108  0.3822  0.06
Se  0.4153  0.1178  0.5892  0.06
Se  0.0847  0.1738  0.2025  0.06
Se  0.4714  0.6738  0.0892  0.06
Se  0.8262  0.9153  0.2975  0.06
Se  0.1178  0.4153  0.0892  0.06
Se  0.3822  0.9714  0.7975  0.06
Se  0.5892  0.6178  0.4153  0.06
Se  0.9108  0.8262  0.5286  0.06
Se  0.7975  0.3262  0.9153  0.06
Se  0.4108  0.3822  0.5847  0.06
Se  0.0892  0.1738  0.4714  0.06
Se  0.2025  0.6738  0.0847  0.06
Se  0.1738  0.0847  0.7025  0.06
Se  0.6178  0.0286  0.2025  0.06
Se  0.8822  0.5847  0.9108  0.06
Se  0.5286  0.3262  0.9108  0.06
Se  0.5847  0.8822  0.4108  0.06
Se  0.9153  0.8262  0.7975  0.06
Se  0.9153  0.0892  0.6178  0.06
Se  0.8822  0.2975  0.4714  0.06
Se  0.1738  0.0892  0.9714  0.06
Se  0.6178  0.5892  0.9153  0.06
Se  0.4108  0.0286  0.3262  0.06
Se  0.2975  0.4153  0.8262  0.06
Se  0.2025  0.5286  0.6178  0.06
Se  0.9108  0.0847  0.8822  0.06
Se  0.6738  0.2025  0.5847  0.06
Se  0.4714  0.7975  0.8822  0.06
Se  0.0286  0.4108  0.8262  0.06
Se  0.4153  0.2975  0.3262  0.06
Se  0.0286  0.6178  0.7025  0.06
Se  0.6738  0.4714  0.5892  0.06
Se  0.2975  0.8822  0.9714  0.06
Dy  0.7500  0.3750  0.1250  0.14
Dy  0.8750  0.7500  0.1250  0.14
Dy  0.3750  0.7500  0.6250  0.14
Dy  0.2500  0.1250  0.3750  0.14
Dy  0.8750  0.1250  0.2500  0.14
Dy  0.3750  0.6250  0.2500  0.14
Dy  0.6250  0.3750  0.7500  0.14
Dy  0.1250  0.8750  0.7500  0.14
Dy  0.7500  0.8750  0.6250  0.14
Dy  0.6250  0.2500  0.3750  0.14
Dy  0.1250  0.2500  0.8750  0.14
Dy  0.2500  0.6250  0.8750  0.14

space-group type = Ia-3d
DOS at the Fermi energy = 80.0 states/eV per cell
formation energy (no corrections) = -0.71 eV/atom



7.
Dy2FeSe | GGA-PBE | relaxed

Cell lengths 3.6681, 3.6681, 8.9959 Å; angles 78.24, 78.24, 60.00 degrees
Each line ends with the local moment (μB).
Atoms (fractional coordinates):
Fe  0.0000  0.0000  0.0000  2.19
Se  0.5000  0.5000  0.5000  -0.01
Dy  0.0946  0.0946  0.7163  -0.29
Dy  0.9054  0.9054  0.2837  -0.29

space-group type = R-3m
DOS at the Fermi energy = 2.4 states/eV per cell
formation energy (no corrections) = -0.09 eV/atom



8.
Dy4FeSe7 | GGA-PBE | relaxed

Cell lengths 6.7808, 6.7808, 11.9482 Å; angles 75.88, 75.88, 33.96 degrees
Each line ends with the local moment (μB).
Atoms (fractional coordinates):
Dy  0.6948  0.6948  0.2091  0.06
Dy  0.3052  0.3052  0.7991  0.02
Dy  0.9993  0.9993  0.0071  0.01
Dy  0.1114  0.1114  0.5616  0.04
Fe  0.8887  0.8887  0.4273  3.33
Se  0.7451  0.7451  0.6358  0.04
Se  0.2741  0.2741  0.3535  0.08
Se  0.3364  0.3364  0.0516  0.01
Se  0.6606  0.6606  0.9485  0.01
Se  0.0313  0.0313  0.2297  0.05
Se  0.9647  0.9647  0.7835  0.01
Se  0.4885  0.4885  0.4931  0.09

space-group type = Cm
DOS at the Fermi energy = 4.1 states/eV per cell
formation energy (no corrections) = -1.52 eV/atom



9.
Dy5Fe2Se2 | GGA-PBE | relaxed

Cell lengths 7.4412, 7.3987, 8.4222 Å; angles 90.00, 63.78, 90.00 degrees
Each line ends with the local moment (μB).
Atoms (fractional coordinates):
Dy  0.0000  0.0000  0.0000  -0.21
Dy  0.5000  0.5000  0.0000  -0.21
Dy  0.4558  0.1684  0.7458  -0.15
Dy  0.7984  0.8316  0.7458  -0.15
Dy  0.2984  0.6684  0.7458  -0.15
Dy  0.9558  0.3316  0.7458  -0.15
Dy  0.5442  0.8316  0.2542  -0.15
Dy  0.2016  0.1684  0.2542  -0.15
Dy  0.7016  0.3316  0.2542  -0.15
Dy  0.0442  0.6684  0.2542  -0.15
Fe  0.1079  0.3954  0.0000  0.80
Fe  0.8921  0.6046  0.0000  0.80
Fe  0.3921  0.8954  0.0000  0.80
Fe  0.6079  0.1046  0.0000  0.80
Se  0.2077  0.0000  0.5846  0.00
Se  0.7077  0.5000  0.5846  0.00
Se  0.7923  0.0000  0.4154  0.00
Se  0.2923  0.5000  0.4154  0.00

space-group type = Cmce
DOS at the Fermi energy = 14.1 states/eV per cell
formation energy (no corrections) = -0.74 eV/atom



10.
DyFeSi2 | GGA-PBE | relaxed

Cell lengths 3.8960, 3.8960, 5.4606 Å; angles 69.10, 69.10, 60.00 degrees
Atoms (fractional coordinates):
Si  0.7079  0.7079  0.8763
Si  0.2921  0.2921  0.1237
Fe  0.0000  0.0000  0.0000
Dy  0.5000  0.5000  0.5000

space-group type = R-3m
DOS at the Fermi energy = 3.2 states/eV per cell
formation energy (no corrections) = -0.66 eV/atom



11.
Dy2FeSi2 | GGA-PBE | relaxed

Cell lengths 4.1354, 5.6509, 8.9327 Å; angles 83.03, 76.62, 68.54 degrees
Atoms (fractional coordinates):
Si  0.4992  0.8744  0.1272
Si  0.6558  0.2523  0.4356
Si  0.5008  0.1256  0.8728
Si  0.3442  0.7477  0.5644
Fe  0.2719  0.0792  0.3765
Fe  0.7281  0.9208  0.6235
Dy  0.1886  0.7310  0.8917
Dy  0.9985  0.3304  0.6723
Dy  0.8114  0.2690  0.1083
Dy  0.0015  0.6696  0.3277

space-group type = C2/m
DOS at the Fermi energy = 8.6 states/eV per cell
formation energy (no corrections) = -0.70 eV/atom



12.
DyFeSi | GGA-PBE | relaxed

Cell lengths 3.8401, 4.0448, 4.0448 Å; angles 120.00, 90.00, 90.00 degrees
Each line ends with the local moment (μB).
Atoms (fractional coordinates):
Si  0.1667  0.0000  0.0000  -0.02
Fe  0.1666  0.3333  0.6667  1.47
Dy  0.6667  0.6667  0.3333  -0.12

space-group type = P-6m2
DOS at the Fermi energy = 2.3 states/eV per cell
formation energy (no corrections) = -0.46 eV/atom